1.
Density functional theory data (PBE) for an optimized crystal structure of La8SmDy4.

```
La8SmDy4
1.0
3.644 2.104 9.963
-3.644 2.104 9.963
0.000 -4.207 9.963
La Sm Dy
8 1 4
direct
0.203 0.754 0.754
0.210 0.210 0.210
0.246 0.246 0.797
0.246 0.797 0.246
0.754 0.203 0.754
0.754 0.754 0.203
0.790 0.790 0.790
0.797 0.246 0.246
0.500 0.500 0.500
0.000 0.000 0.000
0.000 0.500 0.500
0.500 0.000 0.500
0.500 0.500 0.000
```

The value obtained for the density of states at the Fermi level is 15.6 states/eV/f.u. As for the space group: R-3m. The formation energy is 154 meV/atom. Its calculated density is 6.9 g/cm3. The value obtained for the electronic total energy is -4.657 eV/atom.

=====

2.
Density functional theory data (PBE) for an optimized crystal structure of V2InOs.

```
V2InOs
1.0
-3.626 3.626 2.691
3.626 -3.626 2.691
3.626 3.626 -2.691
V In Os
4 2 2
direct
0.069 0.125 0.444
0.375 0.931 0.056
0.681 0.625 0.556
0.875 0.319 0.944
0.250 0.750 0.500
0.500 0.500 0.000
0.000 0.000 0.000
0.750 0.250 0.500
```

The value obtained for the density of states at the Fermi level is 4.6 states/eV/f.u. As for the space group: I-42d. The formation energy is 512 meV/atom. Its calculated density is 9.5 g/cm3. The value obtained for the electronic total energy is -7.539 eV/atom.

=====

3.
Density functional theory data (PBE) for an optimized crystal structure of Mn3NbIn.

```
Mn3NbIn
1.0
4.708 0.000 0.000
0.000 4.708 0.000
0.000 0.000 4.708
Mn Nb In
3 1 1
direct
0.000 0.000 0.500
0.000 0.500 0.000
0.500 0.000 0.000
0.000 0.000 0.000
0.500 0.500 0.500
```

The value obtained for the density of states at the Fermi level is 6.7 states/eV/f.u. As for the space group: Pm-3m. The formation energy is 1169 meV/atom. Its relative energy among the computed polymorphs is 0.000 eV/atom. Its calculated density is 5.9 g/cm3. The value obtained for the electronic total energy is -6.894 eV/atom.

=====

4.
Density functional theory data (PBE) for an optimized crystal structure of Li5Ac2Pd4.

```
Li5Ac2Pd4
1.0
0.000 4.866 8.126
2.804 0.000 8.126
2.804 4.866 0.000
Li Ac Pd
5 2 4
direct
0.000 0.000 0.000
0.000 0.000 0.500
0.250 0.250 0.250
0.500 0.500 0.000
0.750 0.750 0.750
0.354 0.354 0.646
0.646 0.646 0.354
0.021 0.717 0.283
0.283 0.979 0.021
0.717 0.021 0.979
0.979 0.283 0.717
```

The value obtained for the density of states at the Fermi level is 5.4 states/eV/f.u. As for the space group: Fmmm. The formation energy is -444 meV/atom. Its relative energy among the computed polymorphs is 0.000 eV/atom. Its calculated density is 6.8 g/cm3. The value obtained for the electronic total energy is -3.950 eV/atom.

=====

> What is the electronic total energy in the first record?

-4.657 eV/atom